Entry 1:
## Na3Pr2DyTe6 (PBE)

Data for a relaxed structure of Na3Pr2DyTe6. Values from VASP.

The structure in Quantum ESPRESSO input format:
```
&SYSTEM
  ibrav = 0, nat = 12, ntyp = 4
/
ATOMIC_SPECIES
Te 127.60 Te.upf
Na 22.99 Na.upf
Pr 140.91 Pr.upf
Dy 162.50 Dy.upf
ATOMIC_POSITIONS crystal
Te 0.245 0.245 0.762
Te 0.921 0.596 0.762
Te 0.079 0.404 0.238
Te 0.404 0.079 0.238
Te 0.596 0.921 0.762
Na 0.831 0.169 0.500
Te 0.755 0.755 0.238
Na 0.169 0.831 0.500
Pr 0.666 0.334 0.000
Na 0.500 0.500 0.500
Pr 0.334 0.666 0.000
Dy 0.000 0.000 0.000
CELL_PARAMETERS angstrom
7.843 -0.002 -0.001
-3.922 6.792 -0.001
-1.309 -2.267 7.575
```

Properties
E ... -52.8 eV per cell
Formation energy from raw total energies ... -1.3231 eV/atom
Total magnetic moment ... 0.0 μB/cell

Entry 2:
## TbGeCl5 (PBE)

Data for a relaxed structure of TbGeCl5. Values from VASP.

The structure in Quantum ESPRESSO input format:
```
&SYSTEM
  ibrav = 0, nat = 14, ntyp = 3
/
ATOMIC_SPECIES
Cl 35.45 Cl.upf
Ge 72.64 Ge.upf
Tb 158.93 Tb.upf
ATOMIC_POSITIONS crystal
Cl 0.634 0.669 0.345
Cl 0.831 0.866 0.155
Cl 0.366 0.331 0.655
Ge 0.084 0.416 0.750
Cl 0.249 0.251 0.250
Tb 0.000 0.000 0.000
Cl 0.746 0.288 0.002
Cl 0.788 0.246 0.502
Cl 0.254 0.712 0.998
Ge 0.916 0.584 0.250
Cl 0.212 0.754 0.498
Cl 0.751 0.749 0.750
Tb 0.500 0.500 0.500
Cl 0.169 0.134 0.845
CELL_PARAMETERS angstrom
-2.490 -3.167 5.793
5.934 -3.670 1.056
1.791 9.893 2.135
```

Properties
E ... -59.2 eV per cell
N(E_F) ... 0.000 states/eV per atom
Formation energy from raw total energies ... -1.5858 eV/atom
Total magnetic moment ... 0.0 μB/cell

Entry 3:
## BaZn2SbCl (PBE)

Data for a relaxed structure of BaZn2SbCl. Values from VASP.

The structure in Quantum ESPRESSO input format:
```
&SYSTEM
  ibrav = 0, nat = 5, ntyp = 4
/
ATOMIC_SPECIES
Zn 65.41 Zn.upf
Sb 121.76 Sb.upf
Cl 35.45 Cl.upf
Ba 137.33 Ba.upf
ATOMIC_POSITIONS crystal
Zn 0.000 0.500 0.000
Sb 0.500 0.500 0.500
Cl 0.000 0.000 0.500
Zn 0.500 0.000 0.000
Ba 0.000 0.000 0.000
CELL_PARAMETERS angstrom
-3.705 2.373 -4.954
-0.700 -6.130 -2.413
-4.702 -0.713 3.175
```

Properties
E ... -9.6 eV per cell
N(E_F) ... 0.660 states/eV per atom
Formation energy from raw total energies ... 0.1598 eV/atom
Total magnetic moment ... 2.1 μB/cell

Entry 4:
## Ba2SrRu (PBE)

Data for a relaxed structure of Ba2SrRu. Values from VASP.

The structure in Quantum ESPRESSO input format:
```
&SYSTEM
  ibrav = 0, nat = 4, ntyp = 3
/
ATOMIC_SPECIES
Sr 87.62 Sr.upf
Ru 101.07 Ru.upf
Ba 137.33 Ba.upf
ATOMIC_POSITIONS crystal
Sr 0.750 0.750 0.750
Ru 0.500 0.500 0.500
Ba 0.000 0.000 0.000
Ba 0.250 0.250 0.250
CELL_PARAMETERS angstrom
-3.751 3.880 2.041
-5.591 -0.395 -1.370
-3.851 -1.543 4.011
```

Properties
E ... -12.5 eV per cell
Energy relative to the elements ... 584 meV/atom
Energy above the most stable polymorph in this dataset ... 1.09 eV/f.u.
N(E_F) ... 0.906 states/eV per atom
Total magnetic moment ... 0.0 μB/cell

Entry 5:
## LiPr2MnS5 (PBE)

Data for a relaxed structure of LiPr2MnS5. Values from VASP.

The structure in Quantum ESPRESSO input format:
```
&SYSTEM
  ibrav = 0, nat = 18, ntyp = 4
/
ATOMIC_SPECIES
S 32.06 S.upf
Pr 140.91 Pr.upf
Mn 54.94 Mn.upf
Li 6.94 Li.upf
ATOMIC_POSITIONS crystal
S 0.035 0.069 0.057
Pr 0.125 0.249 0.687
S 0.358 0.716 0.998
Mn 0.406 0.813 0.484
S 0.702 0.405 0.843
Li 0.779 0.559 0.501
S 0.965 0.931 0.557
Pr 0.112 0.223 0.307
Li 0.221 0.441 0.001
S 0.642 0.284 0.498
S 0.519 0.038 0.800
Pr 0.888 0.777 0.807
S 0.687 0.373 0.148
Pr 0.875 0.751 0.187
S 0.313 0.627 0.648
S 0.481 0.962 0.300
S 0.298 0.595 0.343
Mn 0.594 0.187 0.984
CELL_PARAMETERS angstrom
-3.546 1.814 0.339
-2.107 -8.485 -0.197
0.801 -0.449 10.773
```

Properties
E ... -110.3 eV per cell
N(E_F) ... 0.058 states/eV per atom
Formation energy from raw total energies ... -1.5412 eV/atom
Total magnetic moment ... 8.0 μB/cell

Entry 6:
## SmZrTaN3 (PBE)

Data for a relaxed structure of SmZrTaN3. Values from VASP.

The structure in Quantum ESPRESSO input format:
```
&SYSTEM
  ibrav = 0, nat = 12, ntyp = 4
/
ATOMIC_SPECIES
Zr 91.22 Zr.upf
N 14.01 N.upf
Ta 180.95 Ta.upf
Sm 150.36 Sm.upf
ATOMIC_POSITIONS crystal
Zr 0.250 0.626 0.135
Zr 0.750 0.374 0.865
N 0.250 0.851 0.583
Ta 0.750 0.849 0.420
Sm 0.750 0.862 0.824
Sm 0.250 0.138 0.176
N 0.750 0.402 0.125
N 0.250 0.598 0.875
Ta 0.250 0.151 0.580
N 0.750 0.851 0.151
N 0.750 0.149 0.417
N 0.250 0.149 0.849
CELL_PARAMETERS angstrom
-0.163 -1.875 2.629
3.880 -4.796 -3.180
6.622 3.810 3.128
```

Properties
E ... -114.0 eV per cell
N(E_F) ... 0.446 states/eV per atom
Formation energy from raw total energies ... -1.1482 eV/atom
Total magnetic moment ... 0.0 μB/cell

Entry 7:
## La8Bi2Ru (PBE)

Data for a relaxed structure of La8Bi2Ru. Values from VASP.

The structure in Quantum ESPRESSO input format:
```
&SYSTEM
  ibrav = 0, nat = 11, ntyp = 3
/
ATOMIC_SPECIES
Bi 208.98 Bi.upf
La 138.91 La.upf
Ru 101.07 Ru.upf
ATOMIC_POSITIONS crystal
Bi 0.169 0.713 0.338
La 0.780 0.700 0.560
La 0.360 0.032 0.720
Ru 0.500 0.000 0.000
La 0.220 0.300 0.440
La 0.640 0.968 0.280
La 0.586 0.421 0.173
Bi 0.831 0.287 0.662
La 0.414 0.579 0.827
La 0.996 0.219 0.992
La 0.004 0.781 0.008
CELL_PARAMETERS angstrom
5.663 0.000 0.000
0.000 6.980 -0.350
-2.832 -3.397 9.213
```

Properties
E ... -60.9 eV per cell
Energy relative to the elements ... -404 meV/atom
N(E_F) ... 1.343 states/eV per atom
Total magnetic moment ... 0.0 μB/cell

Entry 8:
## LiCo2Cu (PBE)

Data for a relaxed structure of LiCo2Cu. Values from VASP.

The structure in Quantum ESPRESSO input format:
```
&SYSTEM
  ibrav = 0, nat = 4, ntyp = 3
/
ATOMIC_SPECIES
Li 6.94 Li.upf
Cu 63.55 Cu.upf
Co 58.93 Co.upf
ATOMIC_POSITIONS crystal
Li 0.500 0.500 0.750
Cu 0.500 0.500 0.250
Co 0.000 0.000 0.490
Co 0.000 0.000 0.010
CELL_PARAMETERS angstrom
-2.125 1.128 0.312
-0.691 -1.731 1.553
3.119 4.198 6.069
```

Properties
E ... -19.4 eV per cell
Energy relative to the elements ... 207 meV/atom
N(E_F) ... 0.898 states/eV per atom
Total magnetic moment ... 3.2 μB/cell

Entry 9:
## CaCd2Se2 (PBE)

Data for a relaxed structure of CaCd2Se2. Values from VASP.

The structure in Quantum ESPRESSO input format:
```
&SYSTEM
  ibrav = 0, nat = 10, ntyp = 3
/
ATOMIC_SPECIES
Cd 112.41 Cd.upf
Se 78.96 Se.upf
Ca 40.08 Ca.upf
ATOMIC_POSITIONS crystal
Cd 0.384 0.116 0.500
Se 0.235 0.265 0.000
Cd 0.116 0.616 0.500
Ca 0.000 0.000 0.000
Cd 0.616 0.884 0.500
Se 0.735 0.235 0.000
Se 0.765 0.735 0.000
Cd 0.884 0.384 0.500
Ca 0.500 0.500 0.000
Se 0.265 0.765 0.000
CELL_PARAMETERS angstrom
8.209 0.000 0.000
0.000 8.209 0.000
0.000 0.000 4.348
```

Properties
E ... -28.4 eV per cell
Energy above the most stable polymorph in this dataset ... 0.00 eV/f.u.
N(E_F) ... 0.057 states/eV per atom
Formation energy from raw total energies ... -0.6757 eV/atom
Total magnetic moment ... 0.0 μB/cell

Entry 10:
## Sr2TmReO6 (PBE)

Data for a relaxed structure of Sr2TmReO6. Values from VASP.

The structure in Quantum ESPRESSO input format:
```
&SYSTEM
  ibrav = 0, nat = 10, ntyp = 4
/
ATOMIC_SPECIES
O 16.00 O.upf
Re 186.21 Re.upf
Sr 87.62 Sr.upf
Tm 168.93 Tm.upf
ATOMIC_POSITIONS crystal
O 0.238 0.238 0.762
O 0.762 0.762 0.238
O 0.238 0.762 0.238
O 0.762 0.238 0.238
Re 0.000 0.000 0.000
Sr 0.250 0.250 0.250
Sr 0.750 0.750 0.750
Tm 0.500 0.500 0.500
O 0.762 0.238 0.762
O 0.238 0.762 0.762
CELL_PARAMETERS angstrom
-0.660 3.101 -4.924
-5.013 2.852 -1.015
-0.137 5.850 0.221
```

Properties
E ... -76.4 eV per cell
Energy above the most stable polymorph in this dataset ... 0.00 eV/f.u.
N(E_F) ... 0.405 states/eV per atom
Formation energy from raw total energies ... -2.6326 eV/atom
Total magnetic moment ... 1.9 μB/cell

Entry 11:
## NiBr3 (PBE)

Data for a relaxed structure of NiBr3. Values from VASP.

The structure in Quantum ESPRESSO input format:
```
&SYSTEM
  ibrav = 0, nat = 4, ntyp = 2
/
ATOMIC_SPECIES
Br 79.90 Br.upf
Ni 58.69 Ni.upf
ATOMIC_POSITIONS crystal
Br 0.000 0.000 0.603
Br 0.500 0.500 0.250
Br 0.000 0.000 0.897
Ni 0.500 0.500 0.750
CELL_PARAMETERS angstrom
3.170 0.000 0.000
0.000 3.170 0.000
0.000 0.000 10.853
```

Properties
E ... -9.7 eV per cell
N(E_F) ... 1.191 states/eV per atom
Formation energy from raw total energies ... 0.2840 eV/atom
Total magnetic moment ... 1.9 μB/cell

Entry 12:
## PrGa4Fe (PBE)

Data for a relaxed structure of PrGa4Fe. Values from VASP.

The structure in Quantum ESPRESSO input format:
```
&SYSTEM
  ibrav = 0, nat = 6, ntyp = 3
/
ATOMIC_SPECIES
Fe 55.84 Fe.upf
Ga 69.72 Ga.upf
Pr 140.91 Pr.upf
ATOMIC_POSITIONS crystal
Fe 0.500 0.500 0.500
Ga 0.500 0.500 0.170
Ga 0.500 0.500 0.830
Pr 0.000 0.000 0.000
Ga 0.500 0.000 0.500
Ga 0.000 0.500 0.500
CELL_PARAMETERS angstrom
-2.517 3.045 -2.161
0.157 -2.518 -3.731
-5.667 -3.282 1.977
```

Properties
E ... -25.7 eV per cell
Energy relative to the elements ... -62 meV/atom
N(E_F) ... 0.819 states/eV per atom
Total magnetic moment ... 0.2 μB/cell

Entry 13:
## ZnNiBi2C (PBE)

Data for a relaxed structure of ZnNiBi2C. Values from VASP.

The structure in Quantum ESPRESSO input format:
```
&SYSTEM
  ibrav = 0, nat = 5, ntyp = 4
/
ATOMIC_SPECIES
Ni 58.69 Ni.upf
C 12.01 C.upf
Bi 208.98 Bi.upf
Zn 65.41 Zn.upf
ATOMIC_POSITIONS crystal
Ni 0.000 0.000 0.000
C 0.000 0.500 0.000
Bi 0.000 0.000 0.500
Zn 0.500 0.500 0.500
Bi 0.500 0.000 0.000
CELL_PARAMETERS angstrom
5.480 0.000 0.000
0.000 3.478 0.000
0.000 0.000 5.480
```

Properties
E ... -21.0 eV per cell
Energy relative to the elements ... 600 meV/atom
N(E_F) ... 0.426 states/eV per atom
Total magnetic moment ... 0.0 μB/cell

Entry 14:
## CuAgOs2 (PBE)

Data for a relaxed structure of CuAgOs2. Values from VASP.

The structure in Quantum ESPRESSO input format:
```
&SYSTEM
  ibrav = 0, nat = 4, ntyp = 3
/
ATOMIC_SPECIES
Os 190.23 Os.upf
Cu 63.55 Cu.upf
Ag 107.87 Ag.upf
ATOMIC_POSITIONS crystal
Os 0.000 0.000 0.000
Cu 0.000 0.500 0.500
Os 0.500 0.500 0.000
Ag 0.500 0.000 0.500
CELL_PARAMETERS angstrom
5.486 0.004 0.015
-2.888 4.664 0.015
0.633 1.138 2.344
```

Properties
E ... -26.8 eV per cell
Energy relative to the elements ... 652 meV/atom
Energy above the most stable polymorph in this dataset ... 1.37 eV/f.u.
N(E_F) ... 0.861 states/eV per atom
Total magnetic moment ... 0.0 μB/cell

Entry 15:
## KIrOs2O8 (PBE)

Data for a relaxed structure of KIrOs2O8. Values from VASP.

The structure in Quantum ESPRESSO input format:
```
&SYSTEM
  ibrav = 0, nat = 12, ntyp = 4
/
ATOMIC_SPECIES
Os 190.23 Os.upf
O 16.00 O.upf
Ir 192.22 Ir.upf
K 39.10 K.upf
ATOMIC_POSITIONS crystal
Os 0.548 0.548 0.260
O 0.754 0.754 0.041
Os 0.452 0.452 0.740
O 0.711 0.199 0.211
O 0.289 0.801 0.789
Ir 0.000 0.000 0.000
O 0.347 0.347 0.548
O 0.653 0.653 0.452
O 0.801 0.289 0.789
O 0.246 0.246 0.959
K 0.000 0.000 0.500
O 0.199 0.711 0.211
CELL_PARAMETERS angstrom
-4.852 -1.143 1.207
-0.050 -4.953 1.328
-0.224 -0.055 7.134
```

Properties
E ... -83.4 eV per cell
N(E_F) ... 0.389 states/eV per atom
Formation energy from raw total energies ... -0.9432 eV/atom
Total magnetic moment ... 0.0 μB/cell

Entry 16:
## Na2Al3HgAu12 (PBE)

Data for a relaxed structure of Na2Al3HgAu12. Values from VASP.

The structure in Quantum ESPRESSO input format:
```
&SYSTEM
  ibrav = 0, nat = 18, ntyp = 4
/
ATOMIC_SPECIES
Au 196.97 Au.upf
Hg 200.59 Hg.upf
Al 26.98 Al.upf
Na 22.99 Na.upf
ATOMIC_POSITIONS crystal
Au 0.844 0.394 0.844
Hg 0.000 0.000 0.000
Al 0.500 0.000 0.000
Au 0.638 0.638 0.100
Au 0.394 0.844 0.844
Al 0.000 0.500 0.000
Au 0.362 0.900 0.362
Au 0.156 0.156 0.606
Au 0.606 0.156 0.156
Au 0.900 0.362 0.362
Au 0.844 0.844 0.394
Na 0.590 0.590 0.590
Al 0.000 0.000 0.500
Au 0.100 0.638 0.638
Au 0.156 0.606 0.156
Na 0.410 0.410 0.410
Au 0.362 0.362 0.900
Au 0.638 0.100 0.638
CELL_PARAMETERS angstrom
-5.743 -3.693 -3.828
-0.847 -7.439 2.285
-6.362 -1.086 4.429
```

Properties
E ... -54.2 eV per cell
Energy relative to the elements ... -38 meV/atom
N(E_F) ... 0.303 states/eV per atom
Total magnetic moment ... 0.0 μB/cell

Entry 17:
## NbSi2N (PBE)

Data for a relaxed structure of NbSi2N. Values from VASP.

The structure in Quantum ESPRESSO input format:
```
&SYSTEM
  ibrav = 0, nat = 8, ntyp = 3
/
ATOMIC_SPECIES
Si 28.09 Si.upf
N 14.01 N.upf
Nb 92.91 Nb.upf
ATOMIC_POSITIONS crystal
Si 0.229 0.625 0.250
N 0.250 0.750 0.500
Nb 0.000 0.000 0.000
Si 0.875 0.771 0.750
Si 0.521 0.125 0.250
Si 0.375 0.479 0.750
Nb 0.750 0.250 0.500
N 0.500 0.500 0.000
CELL_PARAMETERS angstrom
-1.544 -5.065 2.105
-1.387 -1.755 -5.241
1.743 -4.579 -2.026
```

Properties
E ... -58.1 eV per cell
N(E_F) ... 0.427 states/eV per atom
Formation energy from raw total energies ... 0.0430 eV/atom
Total magnetic moment ... 0.0 μB/cell

Entry 18:
## PuU5Se8 (PBE)

Data for a relaxed structure of PuU5Se8. Values from VASP.

The structure in Quantum ESPRESSO input format:
```
&SYSTEM
  ibrav = 0, nat = 14, ntyp = 3
/
ATOMIC_SPECIES
Se 78.96 Se.upf
U 238.03 U.upf
Pu 244.00 Pu.upf
ATOMIC_POSITIONS crystal
Se 0.626 0.907 0.877
U 0.876 0.875 0.248
Se 0.970 0.093 0.719
U 0.999 0.372 0.124
Se 0.777 0.251 0.374
Se 0.281 0.251 0.374
Se 0.474 0.597 0.223
Pu 0.250 0.500 0.750
Se 0.626 0.403 0.877
Se 0.123 0.749 0.526
U 0.374 0.125 0.001
U 0.500 0.000 0.500
Se 0.123 0.749 0.030
U 0.752 0.628 0.626
CELL_PARAMETERS angstrom
-4.007 -1.030 6.225
5.559 -4.992 -0.235
2.857 6.907 -0.019
```

Properties
E ... -114.9 eV per cell
N(E_F) ... 2.899 states/eV per atom
Formation energy from raw total energies ... -1.1632 eV/atom
Total magnetic moment ... 8.7 μB/cell

Entry 19:
## Y3Pt2Au3 (PBE)

Data for a relaxed structure of Y3Pt2Au3. Values from VASP.

The structure in Quantum ESPRESSO input format:
```
&SYSTEM
  ibrav = 0, nat = 8, ntyp = 3
/
ATOMIC_SPECIES
Y 88.91 Y.upf
Au 196.97 Au.upf
Pt 195.08 Pt.upf
ATOMIC_POSITIONS crystal
Y 0.500 0.000 0.601
Au 0.000 0.769 0.769
Y 0.500 0.601 0.000
Au 0.000 0.000 0.231
Pt 0.000 0.667 0.333
Pt 0.000 0.333 0.667
Y 0.500 0.399 0.399
Au 0.000 0.231 0.000
CELL_PARAMETERS angstrom
-0.565 -1.396 -3.319
4.966 -5.351 1.405
-7.169 -1.052 1.664
```

Properties
E ... -49.4 eV per cell
Energy relative to the elements ... -1006 meV/atom
N(E_F) ... 0.839 states/eV per atom
Total magnetic moment ... 0.0 μB/cell

Entry 20:
## Sr2LaSi (PBE)

Data for a relaxed structure of Sr2LaSi. Values from VASP.

The structure in Quantum ESPRESSO input format:
```
&SYSTEM
  ibrav = 0, nat = 4, ntyp = 3
/
ATOMIC_SPECIES
La 138.91 La.upf
Sr 87.62 Sr.upf
Si 28.09 Si.upf
ATOMIC_POSITIONS crystal
La 0.500 0.500 0.000
Sr 0.000 0.000 0.000
Sr 0.250 0.750 0.500
Si 0.750 0.250 0.500
CELL_PARAMETERS angstrom
-2.434 4.574 3.453
-5.131 2.299 -2.676
1.814 -5.800 1.356
```

Properties
E ... -13.5 eV per cell
N(E_F) ... 1.039 states/eV per atom
Formation energy from raw total energies ... 0.0559 eV/atom
Total magnetic moment ... 0.0 μB/cell

Entry 21:
## La2Ga4Ni (PBE)

Data for a relaxed structure of La2Ga4Ni. Values from VASP.

The structure in Quantum ESPRESSO input format:
```
&SYSTEM
  ibrav = 0, nat = 7, ntyp = 3
/
ATOMIC_SPECIES
Ni 58.69 Ni.upf
Ga 69.72 Ga.upf
La 138.91 La.upf
ATOMIC_POSITIONS crystal
Ni 0.000 0.000 0.000
Ga 0.500 0.000 0.000
La 0.650 0.650 0.699
Ga 0.154 0.154 0.693
La 0.350 0.350 0.301
Ga 0.000 0.500 0.000
Ga 0.846 0.846 0.307
CELL_PARAMETERS angstrom
-0.444 0.519 4.505
-4.479 -0.759 -0.354
-1.239 -7.805 3.081
```

Properties
E ... -31.0 eV per cell
Energy relative to the elements ... -472 meV/atom
N(E_F) ... 0.806 states/eV per atom
Total magnetic moment ... 0.0 μB/cell